Record 1
Material: La2BiSb
Method: DFT, PBE-GGA
State: optimized geometry

Cell and atoms, written as POSCAR:
```
La2BiSb
1.0
7.380 0.000 0.000
0.000 7.380 0.000
3.690 3.690 7.253
Sb La Bi
2 4 2
Cartesian
3.690 7.380 3.626
3.690 3.690 0.000
1.896 5.535 1.813
5.484 1.845 1.813
5.535 5.586 5.439
9.225 9.174 5.439
7.380 3.690 3.626
0.000 0.000 0.000
```

Computed properties:
energy relative to the elements, uncorrected = -0.6247 eV/atom
total DFT energy (no corrections) = -5.089 eV per atom
energy relative to the lowest polymorph listed for this composition = 2.17 eV per formula unit
calculated density = 5.12 g/cm³
crystal system = tetragonal
calculated volume = 394.98 Å³/cell

---

Record 2
Material: LaBi2Sb2
Method: DFT, PBE-GGA
State: optimized geometry

Cell and atoms, written as POSCAR:
```
LaBi2Sb2
1.0
-7.369 -1.746 -4.060
3.412 -7.265 -3.069
-1.428 -2.158 3.520
Bi Sb La
4 4 2
Cartesian
-2.953 -8.210 -3.520
-2.432 -2.958 -0.089
0.271 -6.355 -1.075
-5.655 -4.814 -2.534
0.157 -2.839 -1.677
-4.253 -2.168 -3.054
0.296 -6.843 -4.075
-4.114 -6.172 -5.452
0.000 0.000 0.000
-1.978 -4.505 -3.564
```

Computed properties:
energy relative to the elements, uncorrected = -0.3709 eV/atom
total DFT energy (no corrections) = -4.558 eV per atom
energy relative to the lowest polymorph listed for this composition = 0.47 eV per formula unit
calculated density = 8.24 g/cm³
crystal system = tetragonal
calculated volume = 322.55 Å³/cell

---

Record 3
Material: La3BiSb
Method: DFT, PBE-GGA
State: optimized geometry

Cell and atoms, written as POSCAR:
```
La3BiSb
1.0
-2.801 4.191 3.193
-4.675 -0.309 -3.695
-2.430 -4.236 3.429
La Bi Sb
3 1 1
Cartesian
-2.337 -0.155 -1.847
-1.400 2.096 1.596
-1.215 -2.118 1.714
-4.953 -0.177 1.463
0.000 0.000 0.000
```

Computed properties:
energy relative to the elements, uncorrected = -0.3346 eV/atom
total DFT energy (no corrections) = -4.892 eV per atom
energy relative to the lowest polymorph listed for this composition = 2.66 eV per formula unit
calculated density = 5.84 g/cm³
crystal system = cubic
calculated volume = 212.44 Å³/cell

---

Record 4
Material: LaBi2Sb2
Method: DFT, PBE-GGA
State: optimized geometry

Cell and atoms, written as POSCAR:
```
LaBi2Sb2
1.0
-4.418 -4.273 -6.162
-5.698 -2.736 5.983
-2.404 3.488 -0.695
La Sb Bi
2 4 4
Cartesian
-5.058 -3.504 -0.090
0.000 0.000 0.000
-3.660 -0.094 -1.070
-6.016 -0.985 2.609
-6.505 -2.535 -3.484
-8.861 -3.427 0.196
-6.536 -3.922 2.926
-7.441 -5.432 -1.524
-2.676 -1.576 1.344
-3.581 -3.087 -3.106
```

Computed properties:
energy relative to the elements, uncorrected = -0.3195 eV/atom
total DFT energy (no corrections) = -4.506 eV per atom
energy relative to the lowest polymorph listed for this composition = 0.73 eV per formula unit
calculated density = 8.17 g/cm³
crystal system = tetragonal
calculated volume = 325.23 Å³/cell

---

Record 5
Material: La3BiSb
Method: DFT, PBE-GGA
State: optimized geometry

Cell and atoms, written as POSCAR:
```
La3BiSb
1.0
4.345 0.530 -0.802
-1.391 10.903 -0.359
-2.509 -5.024 7.776
Sb Bi La
2 2 6
Cartesian
-0.672 4.596 5.567
1.117 1.813 1.047
-1.540 6.679 2.243
1.985 -0.270 4.372
2.807 4.165 -0.582
-0.647 -0.901 2.049
-2.362 2.244 7.197
-0.628 1.719 3.877
1.074 4.690 2.738
1.092 7.310 4.565
```

Computed properties:
energy relative to the elements, uncorrected = -0.8663 eV/atom
total DFT energy (no corrections) = -5.423 eV per atom
energy relative to the lowest polymorph listed for this composition = 0.00 eV per formula unit
calculated density = 7.32 g/cm³
crystal system = triclinic
calculated volume = 339.18 Å³/cell

---

Record 6
Material: La4Bi3Sb
Method: DFT, PBE-GGA
State: optimized geometry

Cell and atoms, written as POSCAR:
```
La4Bi3Sb
1.0
-2.627 -5.549 5.302
8.056 0.736 0.619
-1.109 6.703 6.466
Bi Sb La
6 2 8
Cartesian
2.956 1.493 4.059
-2.386 -1.650 6.400
2.401 4.846 7.293
1.364 0.396 8.328
1.919 -2.956 5.094
-1.350 2.804 5.368
-0.795 -0.551 2.132
-2.941 1.705 9.636
4.624 -1.394 3.909
1.847 1.002 0.950
-0.304 3.283 8.478
4.038 1.969 7.184
0.282 -0.079 5.204
-1.313 -1.150 9.499
2.473 0.888 11.438
5.634 3.039 2.888
```

Computed properties:
energy relative to the elements, uncorrected = -1.1118 eV/atom
total DFT energy (no corrections) = -5.546 eV per atom
calculated density = 7.44 g/cm³
crystal system = monoclinic
calculated volume = 581.95 Å³/cell

---

Record 7
Material: La2BiSb2
Method: DFT, PBE-GGA
State: optimized geometry

Cell and atoms, written as POSCAR:
```
La2BiSb2
1.0
6.206 0.000 0.000
0.000 6.206 0.000
3.103 3.103 4.661
Sb La Bi
2 2 1
Cartesian
6.206 6.206 3.167
3.103 3.103 1.494
3.103 6.206 2.331
6.206 3.103 2.331
0.000 0.000 0.000
```

Computed properties:
energy relative to the elements, uncorrected = -0.7360 eV/atom
total DFT energy (no corrections) = -5.132 eV per atom
energy relative to the lowest polymorph listed for this composition = 0.76 eV per formula unit
calculated density = 6.75 g/cm³
crystal system = tetragonal
calculated volume = 179.54 Å³/cell

---

Record 8
Material: LaBi2Sb2
Method: DFT, PBE-GGA
State: optimized geometry

Cell and atoms, written as POSCAR:
```
LaBi2Sb2
1.0
-3.796 2.169 -1.077
-2.443 -4.150 0.250
-0.670 1.257 14.304
La Sb Bi
2 4 4
Cartesian
-2.349 0.548 9.383
-4.559 -1.272 4.094
-5.552 -0.366 9.419
-1.356 -0.358 4.058
-3.785 1.211 6.365
-3.124 -1.935 7.112
-2.836 0.346 1.281
-2.043 -2.920 1.319
-4.865 2.196 12.159
-4.072 -1.070 12.197
```

Computed properties:
energy relative to the elements, uncorrected = -0.4657 eV/atom
total DFT energy (no corrections) = -4.652 eV per atom
energy relative to the lowest polymorph listed for this composition = 0.00 eV per formula unit
calculated density = 8.62 g/cm³
crystal system = orthorhombic
calculated volume = 308.27 Å³/cell

---

Record 9
Material: La2BiSb2
Method: DFT, PBE-GGA
State: optimized geometry

Cell and atoms, written as POSCAR:
```
La2BiSb2
1.0
8.600 0.000 0.000
0.000 8.600 0.000
0.000 0.000 4.361
Sb Bi La
4 2 4
Cartesian
3.015 7.315 0.000
7.315 5.584 0.000
1.285 3.015 0.000
5.584 1.285 0.000
4.300 4.300 0.000
0.000 0.000 0.000
1.342 5.642 2.180
7.257 2.958 2.180
2.958 1.342 2.180
5.642 7.257 2.180
```

Computed properties:
energy relative to the elements, uncorrected = -0.8876 eV/atom
total DFT energy (no corrections) = -5.284 eV per atom
energy relative to the lowest polymorph listed for this composition = 0.00 eV per formula unit
calculated density = 7.52 g/cm³
crystal system = tetragonal
calculated volume = 322.50 Å³/cell

---

Record 10
Material: La4Bi2Sb
Method: DFT, PBE-GGA
State: optimized geometry

Cell and atoms, written as POSCAR:
```
La4Bi2Sb
1.0
-1.551 5.068 -2.494
-3.785 0.987 4.360
3.423 7.045 5.312
La Bi Sb
4 2 1
Cartesian
-3.133 7.508 3.449
-1.893 0.493 2.180
-0.775 2.534 -1.247
1.220 5.593 3.729
-1.096 4.065 2.063
-0.817 9.036 5.114
0.000 0.000 0.000
```

Computed properties:
energy relative to the elements, uncorrected = -0.5051 eV/atom
total DFT energy (no corrections) = -5.018 eV per atom
energy relative to the lowest polymorph listed for this composition = 3.44 eV per formula unit
calculated density = 6.23 g/cm³
crystal system = tetragonal
calculated volume = 291.97 Å³/cell

---

Record 11
Material: LaBiSb
Method: DFT, PBE-GGA
State: optimized geometry

Cell and atoms, written as POSCAR:
```
LaBiSb
1.0
3.433 0.000 0.000
0.000 5.591 0.000
0.000 -2.795 4.842
La Bi Sb
1 1 1
Cartesian
1.145 0.000 3.228
2.861 0.000 0.000
2.860 2.795 1.614
```

Computed properties:
energy relative to the elements, uncorrected = -0.4961 eV/atom
total DFT energy (no corrections) = -4.806 eV per atom
energy relative to the lowest polymorph listed for this composition = 0.96 eV per formula unit
calculated density = 8.39 g/cm³
crystal system = hexagonal
calculated volume = 92.92 Å³/cell

---

Record 12
Material: La2BiSb2
Method: DFT, PBE-GGA
State: optimized geometry

Cell and atoms, written as POSCAR:
```
La2BiSb2
1.0
-1.281 -5.000 7.014
-6.567 -4.023 -4.067
2.757 -2.911 -1.572
Sb La Bi
4 4 2
Cartesian
-3.143 -4.890 -2.354
-1.948 -7.044 3.730
-0.096 -3.802 0.974
-4.995 -8.133 0.402
-6.024 -5.162 -1.004
-2.486 -2.159 -0.362
-5.362 -6.864 3.310
-1.824 -3.861 3.952
-3.924 -4.511 1.474
0.000 0.000 0.000
```

Computed properties:
energy relative to the elements, uncorrected = -0.8134 eV/atom
total DFT energy (no corrections) = -5.210 eV per atom
energy relative to the lowest polymorph listed for this composition = 0.37 eV per formula unit
calculated density = 7.43 g/cm³
crystal system = tetragonal
calculated volume = 326.62 Å³/cell

---

Which of these has the highest calculated density? number 8

---

Look up the calculated volume of the seventh one. 179.54 Å³/cell